No. 1
# CaSbIr2

A relaxed CaSbIr2 crystal (GGA-PBEsol, Alexandria via LeMat-Bulk).

Values from the calculation:
Total magnetic moment (μB per cell): 0.00
E_form (uncorrected) (eV per atom): -0.040
Symmetry: Pm (6)

Lattice parameters (Å, degrees): 2.9327 4.2244 6.3850 90.00 101.93 90.00
Positions (direct):
Ca (0.0000, 0.0000, 0.0000)
Sb (0.3608, 0.5000, 0.6913)
Ir (0.3168, 0.0000, 0.4318)
Ir (0.7362, 0.5000, 0.3015)

=====

No. 2
# TaTiNb2

A relaxed TaTiNb2 crystal (GGA-PBEsol, Alexandria via LeMat-Bulk).

Values from the calculation:
Total magnetic moment (μB per cell): 0.00
Symmetry: Fm-3m (225)
Energy of formation (eV per atom): 0.035

Lattice parameters (Å, degrees): 4.6061 4.6061 4.6061 60.00 60.00 60.00
Positions (direct):
Ta (0.0000, 0.0000, 0.0000)
Ti (0.5000, 0.5000, 0.5000)
Nb (0.2500, 0.2500, 0.2500)
Nb (0.7500, 0.7500, 0.7500)

=====

No. 3
# SrCa3

A relaxed SrCa3 crystal (GGA-PBEsol, Alexandria via LeMat-Bulk).

Values from the calculation:
Total magnetic moment (μB per cell): 0.00
Symmetry: P6_3/mmc (194)
Energy of formation (eV per atom): 0.013
Relative energy among the computed polymorphs (meV per atom): 3

Lattice parameters (Å, degrees): 7.8548 7.8548 12.9504 90.00 90.00 120.00
Positions (direct):
Sr (0.0000, 0.0000, 0.0000)
Sr (0.0000, 0.0000, 0.5000)
Sr (0.3333, 0.6667, 0.2500)
Sr (0.6667, 0.3333, 0.7500)
Ca (0.0000, 0.5000, 0.0000)
Ca (0.0000, 0.5000, 0.5000)
Ca (0.1685, 0.3370, 0.7500)
Ca (0.1685, 0.8315, 0.7500)
Ca (0.3370, 0.1685, 0.2500)
Ca (0.5000, 0.0000, 0.0000)
Ca (0.5000, 0.0000, 0.5000)
Ca (0.5000, 0.5000, 0.0000)
Ca (0.5000, 0.5000, 0.5000)
Ca (0.6630, 0.8315, 0.7500)
Ca (0.8315, 0.1685, 0.2500)
Ca (0.8315, 0.6630, 0.2500)

=====

No. 4
# KBeGeP2

A relaxed KBeGeP2 crystal (GGA-PBEsol, Alexandria via LeMat-Bulk).

Values from the calculation:
Total magnetic moment (μB per cell): 0.00
Symmetry: P4/mmm (123)
Energy of formation (eV per atom): 2.054

Lattice parameters (Å, degrees): 5.0962 5.0962 4.7684 90.00 90.00 90.00
Positions (direct):
K (0.0000, 0.0000, 0.0000)
Be (0.0000, 0.0000, 0.5000)
Ge (0.5000, 0.5000, 0.5000)
P (0.0000, 0.5000, 0.0000)
P (0.5000, 0.0000, 0.0000)

=====

No. 5
# LiCdPt2

A relaxed LiCdPt2 crystal (GGA-PBEsol, Alexandria via LeMat-Bulk).

Values from the calculation:
Total magnetic moment (μB per cell): 0.00
Symmetry: C2/m (12)
Energy of formation (eV per atom): -0.379

Lattice parameters (Å, degrees): 4.8092 4.8092 4.7890 100.15 100.15 33.98
Positions (direct):
Li (0.0000, 0.0000, 0.0000)
Cd (0.5000, 0.5000, 0.5000)
Pt (0.2526, 0.2526, 0.7570)
Pt (0.7474, 0.7474, 0.2430)

=====

No. 6
# Cs3AgO

A relaxed Cs3AgO crystal (GGA-PBEsol, Alexandria via LeMat-Bulk).

Values from the calculation:
Total magnetic moment (μB per cell): 0.08
E_form (uncorrected) (eV per atom): -0.492
Symmetry: Pm-3m (221)

Lattice parameters (Å, degrees): 5.7963 5.7963 5.7963 90.00 90.00 90.00
Positions (direct):
Cs (0.0000, 0.0000, 0.5000)
Cs (0.0000, 0.5000, 0.0000)
Cs (0.5000, 0.0000, 0.0000)
Ag (0.5000, 0.5000, 0.5000)
O (0.0000, 0.0000, 0.0000)

=====

No. 7
# Ta3Al4O14

A relaxed Ta3Al4O14 crystal (GGA-PBEsol, Alexandria via LeMat-Bulk).

Values from the calculation:
Total magnetic moment (μB per cell): 1.07
E_form (uncorrected) (eV per atom): -2.839
Symmetry: P3 (143)

Lattice parameters (Å, degrees): 7.3843 7.3843 4.5580 90.00 90.00 120.00
Positions (direct):
Ta (0.1114, 0.3898, 0.0000)
Ta (0.2784, 0.8886, 0.0000)
Ta (0.6102, 0.7216, 0.0000)
Al (0.0000, 0.0000, 0.4925)
Al (0.4275, 0.3017, 0.4986)
Al (0.6983, 0.1257, 0.4986)
Al (0.8743, 0.5725, 0.4986)
O (0.0452, 0.8092, 0.2731)
O (0.0859, 0.6150, 0.7721)
O (0.1908, 0.2360, 0.2731)
O (0.2366, 0.0592, 0.7242)
O (0.3333, 0.6667, 0.1873)
O (0.3850, 0.4709, 0.7721)
O (0.4733, 0.0957, 0.2683)
O (0.5291, 0.9141, 0.7721)
O (0.6224, 0.5267, 0.2683)
O (0.6667, 0.3333, 0.6789)
O (0.7640, 0.9548, 0.2731)
O (0.8226, 0.7634, 0.7242)
O (0.9043, 0.3776, 0.2683)
O (0.9408, 0.1774, 0.7242)

=====

No. 8
# Fe2Pb

A relaxed Fe2Pb crystal (GGA-PBEsol, Alexandria via LeMat-Bulk).

Values from the calculation:
Total magnetic moment (μB per cell): 0.00
Symmetry: P-3m1 (164)
Energy of formation (eV per atom): 0.707

Lattice parameters (Å, degrees): 3.5462 3.5462 4.3250 90.00 90.00 120.00
Positions (direct):
Fe (0.3333, 0.6667, 0.4340)
Fe (0.6667, 0.3333, 0.5660)
Pb (0.0000, 0.0000, 0.0000)

=====

No. 9
# Ag2Hg7As4I6

A relaxed Ag2Hg7As4I6 crystal (GGA-PBEsol, Alexandria via LeMat-Bulk).

Values from the calculation:
Total magnetic moment (μB per cell): 0.00
E_form (uncorrected) (eV per atom): -0.140
Symmetry: Pa-3 (205)

Lattice parameters (Å, degrees): 13.1690 13.1690 13.1690 90.00 90.00 90.00
Positions (direct):
Ag (0.2066, 0.2066, 0.2066)
Ag (0.2066, 0.2934, 0.7066)
Ag (0.2934, 0.7066, 0.2066)
Ag (0.2934, 0.7934, 0.7066)
Ag (0.7066, 0.2066, 0.2934)
Ag (0.7066, 0.2934, 0.7934)
Ag (0.7934, 0.7066, 0.2934)
Ag (0.7934, 0.7934, 0.7934)
Hg (0.0000, 0.0000, 0.5000)
Hg (0.0000, 0.5000, 0.0000)
Hg (0.0564, 0.7076, 0.4130)
Hg (0.0564, 0.7924, 0.9130)
Hg (0.0870, 0.5564, 0.7076)
Hg (0.0870, 0.9436, 0.2076)
Hg (0.2076, 0.0870, 0.9436)
Hg (0.2076, 0.4130, 0.4436)
Hg (0.2924, 0.5870, 0.9436)
Hg (0.2924, 0.9130, 0.4436)
Hg (0.4130, 0.0564, 0.7076)
Hg (0.4130, 0.4436, 0.2076)
Hg (0.4436, 0.2076, 0.4130)
Hg (0.4436, 0.2924, 0.9130)
Hg (0.5000, 0.0000, 0.0000)
Hg (0.5000, 0.5000, 0.5000)
Hg (0.5564, 0.7076, 0.0870)
Hg (0.5564, 0.7924, 0.5870)
Hg (0.5870, 0.5564, 0.7924)
Hg (0.5870, 0.9436, 0.2924)
Hg (0.7076, 0.0870, 0.5564)
Hg (0.7076, 0.4130, 0.0564)
Hg (0.7924, 0.5870, 0.5564)
Hg (0.7924, 0.9130, 0.0564)
Hg (0.9130, 0.0564, 0.7924)
Hg (0.9130, 0.4436, 0.2924)
Hg (0.9436, 0.2076, 0.0870)
Hg (0.9436, 0.2924, 0.5870)
As (0.0531, 0.0531, 0.0531)
As (0.0531, 0.4469, 0.5531)
As (0.1107, 0.6107, 0.8893)
As (0.1107, 0.8893, 0.3893)
As (0.3893, 0.1107, 0.8893)
As (0.3893, 0.3893, 0.3893)
As (0.4469, 0.5531, 0.0531)
As (0.4469, 0.9469, 0.5531)
As (0.5531, 0.0531, 0.4469)
As (0.5531, 0.4469, 0.9469)
As (0.6107, 0.6107, 0.6107)
As (0.6107, 0.8893, 0.1107)
As (0.8893, 0.1107, 0.6107)
As (0.8893, 0.3893, 0.1107)
As (0.9469, 0.5531, 0.4469)
As (0.9469, 0.9469, 0.9469)
I (0.0551, 0.2489, 0.3386)
I (0.0551, 0.2511, 0.8386)
I (0.1614, 0.5551, 0.2489)
I (0.1614, 0.9449, 0.7489)
I (0.2489, 0.1614, 0.5551)
I (0.2489, 0.3386, 0.0551)
I (0.2511, 0.6614, 0.5551)
I (0.2511, 0.8386, 0.0551)
I (0.3386, 0.0551, 0.2489)
I (0.3386, 0.4449, 0.7489)
I (0.4449, 0.7489, 0.3386)
I (0.4449, 0.7511, 0.8386)
I (0.5551, 0.2489, 0.1614)
I (0.5551, 0.2511, 0.6614)
I (0.6614, 0.5551, 0.2511)
I (0.6614, 0.9449, 0.7511)
I (0.7489, 0.1614, 0.9449)
I (0.7489, 0.3386, 0.4449)
I (0.7511, 0.6614, 0.9449)
I (0.7511, 0.8386, 0.4449)
I (0.8386, 0.0551, 0.2511)
I (0.8386, 0.4449, 0.7511)
I (0.9449, 0.7489, 0.1614)
I (0.9449, 0.7511, 0.6614)

=====

No. 10
# LiGaHgRh2

A relaxed LiGaHgRh2 crystal (GGA-PBEsol, Alexandria via LeMat-Bulk).

Values from the calculation:
Total magnetic moment (μB per cell): 0.00
Symmetry: P4/mmm (123)
Energy of formation (eV per atom): 0.543
Relative energy among the computed polymorphs (meV per atom): 0

Lattice parameters (Å, degrees): 4.5636 4.5636 4.8456 90.00 90.00 90.00
Positions (direct):
Li (0.0000, 0.0000, 0.0000)
Ga (0.5000, 0.5000, 0.5000)
Hg (0.5000, 0.5000, 0.0000)
Rh (0.0000, 0.5000, 0.5000)
Rh (0.5000, 0.0000, 0.5000)

=====

No. 11
# CaMgNi4

A relaxed CaMgNi4 crystal (GGA-PBEsol, Alexandria via LeMat-Bulk).

Values from the calculation:
Total magnetic moment (μB per cell): 0.01
Symmetry: F-43m (216)
Energy of formation (eV per atom): -0.186

Lattice parameters (Å, degrees): 4.8694 4.8694 4.8694 60.00 60.00 60.00
Positions (direct):
Ca (0.0000, 0.0000, 0.0000)
Mg (0.2500, 0.2500, 0.2500)
Ni (0.1269, 0.6244, 0.6244)
Ni (0.6244, 0.1269, 0.6244)
Ni (0.6244, 0.6244, 0.1269)
Ni (0.6244, 0.6244, 0.6244)

=====

No. 12
# ScTlTe2

A relaxed ScTlTe2 crystal (GGA-PBEsol, Alexandria via LeMat-Bulk).

Values from the calculation:
Total magnetic moment (μB per cell): 0.00
E_form (uncorrected) (eV per atom): -0.898
Symmetry: R-3m (166)

Lattice parameters (Å, degrees): 8.2951 8.2951 8.2951 29.13 29.13 29.13
Positions (direct):
Sc (0.0000, 0.0000, 0.0000)
Tl (0.5000, 0.5000, 0.5000)
Te (0.2640, 0.2640, 0.2640)
Te (0.7360, 0.7360, 0.7360)

=====

No. 13
# CdTcBiH2

A relaxed CdTcBiH2 crystal (GGA-PBEsol, Alexandria via LeMat-Bulk).

Values from the calculation:
E_tot (Ha/atom): -0.14492
Total magnetic moment (μB per cell): 1.62
Symmetry: P4/mmm (123)

Lattice parameters (Å, degrees): 3.9489 3.9489 5.3552 90.00 90.00 90.00
Positions (direct):
Cd (0.0000, 0.0000, 0.0000)
Tc (0.5000, 0.5000, 0.5000)
Bi (0.5000, 0.5000, 0.0000)
H (0.0000, 0.5000, 0.5000)
H (0.5000, 0.0000, 0.5000)

=====

No. 14
# Sc2TaHg2

A relaxed Sc2TaHg2 crystal (GGA-PBEsol, Alexandria via LeMat-Bulk).

Values from the calculation:
Total magnetic moment (μB per cell): 0.00
Symmetry: I4/mmm (139)
Energy of formation (eV per atom): 0.397

Lattice parameters (Å, degrees): 6.9791 6.9791 6.9791 146.20 146.20 48.54
Positions (direct):
Sc (0.2500, 0.7500, 0.5000)
Sc (0.7500, 0.2500, 0.5000)
Ta (0.0000, 0.0000, 0.0000)
Hg (0.3986, 0.3986, 0.0000)
Hg (0.6014, 0.6014, 0.0000)

=====

No. 15
# BeSi2Ru

A relaxed BeSi2Ru crystal (GGA-PBEsol, Alexandria via LeMat-Bulk).

Values from the calculation:
Total magnetic moment (μB per cell): 0.00
E_form (uncorrected) (eV per atom): -0.260
Symmetry: P4mm (99)

Lattice parameters (Å, degrees): 3.0898 3.0898 4.8990 90.00 90.00 90.00
Positions (direct):
Be (0.0000, 0.0000, 0.0000)
Si (0.0000, 0.0000, 0.5182)
Si (0.5000, 0.5000, 0.7839)
Ru (0.5000, 0.5000, 0.2723)

=====

No. 16
# Zn3Cu5

A relaxed Zn3Cu5 crystal (GGA-PBEsol, Alexandria via LeMat-Bulk).

Values from the calculation:
Total magnetic moment (μB per cell): 0.00
Symmetry: Cmmm (65)
Energy of formation (eV per atom): -0.086
Relative energy among the computed polymorphs (meV per atom): 0

Lattice parameters (Å, degrees): 5.1168 5.1168 3.6867 90.00 90.00 94.27
Positions (direct):
Zn (0.0000, 0.0000, 0.0000)
Zn (0.2583, 0.7417, 0.5000)
Zn (0.7417, 0.2583, 0.5000)
Cu (0.0000, 0.5000, 0.0000)
Cu (0.2475, 0.2475, 0.5000)
Cu (0.5000, 0.0000, 0.0000)
Cu (0.5000, 0.5000, 0.0000)
Cu (0.7525, 0.7525, 0.5000)

=====

No. 17
# K3Li2Ta6P3O24

A relaxed K3Li2Ta6P3O24 crystal (GGA-PBEsol, Alexandria via LeMat-Bulk).

Values from the calculation:
Total magnetic moment (μB per cell): 0.00
E_form (uncorrected) (eV per atom): -2.569
Symmetry: R32 (155)

Lattice parameters (Å, degrees): 8.4326 8.4326 8.4326 103.46 103.46 103.46
Positions (direct):
K (0.0000, 0.6118, 0.3882)
K (0.3882, 0.0000, 0.6118)
K (0.6118, 0.3882, 0.0000)
Li (0.3591, 0.3591, 0.3591)
Li (0.6409, 0.6409, 0.6409)
Ta (0.0248, 0.1555, 0.3463)
Ta (0.1555, 0.3463, 0.0248)
Ta (0.3463, 0.0248, 0.1555)
Ta (0.6537, 0.8445, 0.9752)
Ta (0.8445, 0.9752, 0.6537)
Ta (0.9752, 0.6537, 0.8445)
P (0.2819, 0.5000, 0.7181)
P (0.5000, 0.7181, 0.2819)
P (0.7181, 0.2819, 0.5000)
O (0.0000, 0.1541, 0.8459)
O (0.0284, 0.5000, 0.9716)
O (0.0707, 0.3150, 0.2093)
O (0.1363, 0.5836, 0.7039)
O (0.1541, 0.8459, 0.0000)
O (0.2093, 0.0707, 0.3150)
O (0.2455, 0.3638, 0.5449)
O (0.2961, 0.4164, 0.8637)
O (0.3150, 0.2093, 0.0707)
O (0.3638, 0.5449, 0.2455)
O (0.4164, 0.8637, 0.2961)
O (0.4551, 0.6362, 0.7545)
O (0.5000, 0.9716, 0.0284)
O (0.5449, 0.2455, 0.3638)
O (0.5836, 0.7039, 0.1363)
O (0.6362, 0.7545, 0.4551)
O (0.6850, 0.9293, 0.7907)
O (0.7039, 0.1363, 0.5836)
O (0.7545, 0.4551, 0.6362)
O (0.7907, 0.6850, 0.9293)
O (0.8459, 0.0000, 0.1541)
O (0.8637, 0.2961, 0.4164)
O (0.9293, 0.7907, 0.6850)
O (0.9716, 0.0284, 0.5000)

=====

No. 18
# SrBe3Au

A relaxed SrBe3Au crystal (GGA-PBEsol, Alexandria via LeMat-Bulk).

Values from the calculation:
Total magnetic moment (μB per cell): 0.00
Symmetry: Pm-3m (221)
Energy of formation (eV per atom): 0.128

Lattice parameters (Å, degrees): 4.4470 4.4470 4.4470 90.00 90.00 90.00
Positions (direct):
Sr (0.0000, 0.0000, 0.0000)
Be (0.0000, 0.5000, 0.5000)
Be (0.5000, 0.0000, 0.5000)
Be (0.5000, 0.5000, 0.0000)
Au (0.5000, 0.5000, 0.5000)

=====

No. 19
# Na14Mn2O9

A relaxed Na14Mn2O9 crystal (GGA-PBEsol, Alexandria via LeMat-Bulk).

Values from the calculation:
Total magnetic moment (μB per cell): 10.00
E_form (uncorrected) (eV per atom): -1.244
Symmetry: P-3 (147)

Lattice parameters (Å, degrees): 6.6316 6.6316 9.2741 90.00 90.00 120.00
Positions (direct):
Na (0.0000, 0.0000, 0.2485)
Na (0.0000, 0.0000, 0.7515)
Na (0.0396, 0.3614, 0.4086)
Na (0.0690, 0.6906, 0.0921)
Na (0.3094, 0.3785, 0.0921)
Na (0.3218, 0.9604, 0.4086)
Na (0.3614, 0.3218, 0.5914)
Na (0.3785, 0.0690, 0.9079)
Na (0.6215, 0.9310, 0.0921)
Na (0.6386, 0.6782, 0.4086)
Na (0.6782, 0.0396, 0.5914)
Na (0.6906, 0.6215, 0.9079)
Na (0.9310, 0.3094, 0.9079)
Na (0.9604, 0.6386, 0.5914)
Mn (0.3333, 0.6667, 0.7640)
Mn (0.6667, 0.3333, 0.2360)
O (0.0000, 0.0000, 0.5000)
O (0.0575, 0.6959, 0.8367)
O (0.3041, 0.3616, 0.8367)
O (0.3333, 0.6667, 0.5435)
O (0.3616, 0.0575, 0.1633)
O (0.6384, 0.9425, 0.8367)
O (0.6667, 0.3333, 0.4565)
O (0.6959, 0.6384, 0.1633)
O (0.9425, 0.3041, 0.1633)

=====

No. 20
# Sc2InSb

A relaxed Sc2InSb crystal (GGA-PBEsol, Alexandria via LeMat-Bulk).

Values from the calculation:
Total magnetic moment (μB per cell): 0.00
E_form (uncorrected) (eV per atom): -0.116
Symmetry: R-3m (166)
Relative energy among the computed polymorphs (meV per atom): 552

Lattice parameters (Å, degrees): 9.7828 9.7828 9.7828 21.87 21.87 21.87
Positions (direct):
Sc (0.1032, 0.1032, 0.1032)
Sc (0.8968, 0.8968, 0.8968)
In (0.0000, 0.0000, 0.0000)
Sb (0.5000, 0.5000, 0.5000)